No. 1
GeOsI2: relaxed, GGA-PBE.

Cell: 5.012 5.012 5.012 Å, 60.00 60.00 60.00°
Fractional coordinates of all 4 atoms:
I1 0.250 0.250 0.250
I2 0.750 0.750 0.750
Ge1 0.000 0.000 0.000
Os1 0.500 0.500 0.500

Properties
As for the total moment: 0.0 μB/f.u. Its space group is No. 225. Its excess energy over the best structure of this formula in the dataset is 0.69 eV per formula unit. The raw formation energy is 1.29 eV/atom. Its density of states at the Fermi level is 0.919 states/eV per atom. As for the theoretical density: 9.640 g/cm³.

No. 2
GeOs2PbI: relaxed, GGA-PBE.

Cell: 4.679 6.049 4.679 Å, 90.00 90.00 90.00°
Site moments in Bohr magnetons follow the coordinates.
Fractional coordinates of all 5 atoms:
Pb1 0.500 0.500 0.500  -0.07
I1 0.000 0.500 0.000  0.08
Ge1 0.000 0.000 0.000  -0.05
Os1 0.000 0.000 0.500  1.39
Os2 0.500 0.000 0.000  1.32

Properties
As for the total moment: 3.0 μB/f.u. Its space group is No. 123. The raw formation energy is 1.52 eV/atom. Its density of states at the Fermi level is 0.821 states/eV per atom. As for the theoretical density: 9.872 g/cm³.

No. 3
Pm6GeOs2I3: relaxed, GGA-PBE.

Cell: 7.352 7.352 8.352 Å, 98.50 98.50 120.03°
Fractional coordinates of all 12 atoms:
Pm1 0.938 0.586 0.812
Pm2 0.711 0.711 0.187
Pm3 0.062 0.414 0.188
Pm4 0.586 0.938 0.812
Pm5 0.289 0.289 0.813
Pm6 0.414 0.062 0.188
Ge1 0.000 0.000 0.000
Os1 0.333 0.667 0.000
Os2 0.667 0.333 0.000
I1 0.164 0.836 0.500
I2 0.836 0.164 0.500
I3 0.500 0.500 0.500

Properties
As for the total moment: 0.0 μB/f.u. Its space group is No. 12. The raw formation energy is -0.70 eV/atom. Its density of states at the Fermi level is 0.704 states/eV per atom. As for the theoretical density: 7.578 g/cm³.

No. 4
Pm8Ge3OsI4: relaxed, GGA-PBE.

Cell: 8.652 9.194 8.652 Å, 118.08 120.00 90.00°
Fractional coordinates of all 16 atoms:
Pm1 0.223 0.691 0.969
Pm2 0.223 0.692 0.446
Pm3 0.267 0.301 0.534
Pm4 0.746 0.691 0.969
Pm5 0.254 0.309 0.031
Pm6 0.733 0.699 0.466
Pm7 0.777 0.308 0.554
Pm8 0.777 0.309 0.031
Ge1 0.500 0.500 0.000
Ge2 0.500 0.500 0.500
Ge3 0.000 0.500 0.500
Os1 0.000 0.500 0.000
I1 0.500 0.000 0.000
I2 0.500 0.000 0.500
I3 0.000 0.000 0.000
I4 0.000 0.000 0.500

Properties
As for the total moment: 0.0 μB/f.u. Its space group is No. 166. The raw formation energy is -0.89 eV/atom. Its density of states at the Fermi level is 0.741 states/eV per atom. As for the theoretical density: 6.890 g/cm³.

No. 5
Pr8GeOs3I4: relaxed, GGA-PBE.

Cell: 8.576 9.490 8.576 Å, 116.86 120.00 90.00°
Fractional coordinates of all 16 atoms:
Pr1 0.235 0.684 0.949
Pr2 0.235 0.684 0.470
Pr3 0.269 0.306 0.538
Pr4 0.713 0.684 0.949
Pr5 0.287 0.316 0.051
Pr6 0.731 0.694 0.462
Pr7 0.765 0.316 0.530
Pr8 0.765 0.316 0.051
Ge1 0.000 0.500 0.000
Os1 0.500 0.500 0.000
Os2 0.500 0.500 0.500
Os3 0.000 0.500 0.500
I1 0.500 0.000 0.000
I2 0.500 0.000 0.500
I3 0.000 0.000 0.000
I4 0.000 0.000 0.500

Properties
As for the total moment: 0.0 μB/f.u. Its space group is No. 166. The raw formation energy is -0.64 eV/atom. Its density of states at the Fermi level is 0.534 states/eV per atom. As for the theoretical density: 7.336 g/cm³.

No. 6
Pr6GeOs2I3: relaxed, GGA-PBE.

Cell: 7.453 7.453 8.462 Å, 98.51 98.51 120.03°
Fractional coordinates of all 12 atoms:
Pr1 0.938 0.586 0.811
Pr2 0.712 0.712 0.188
Pr3 0.062 0.414 0.189
Pr4 0.586 0.938 0.811
Pr5 0.288 0.288 0.812
Pr6 0.414 0.062 0.189
Ge1 0.000 0.000 0.000
Os1 0.333 0.667 0.000
Os2 0.667 0.333 0.000
I1 0.163 0.837 0.500
I2 0.837 0.163 0.500
I3 0.500 0.500 0.500

Properties
As for the total moment: 0.0 μB/f.u. Its space group is No. 12. The raw formation energy is -0.69 eV/atom. Its density of states at the Fermi level is 0.793 states/eV per atom. As for the theoretical density: 7.174 g/cm³.

No. 7
GeSbOsI2: relaxed, GGA-PBE.

Cell: 5.512 5.512 5.601 Å, 90.00 90.00 90.00°
Site moments in Bohr magnetons follow the coordinates.
Fractional coordinates of all 5 atoms:
I1 0.000 0.500 0.000  0.06
I2 0.500 0.000 0.000  0.06
Sb1 0.000 0.000 0.500  -0.11
Ge1 0.000 0.000 0.000  0.01
Os1 0.500 0.500 0.500  3.19

Properties
As for the total moment: 3.7 μB/f.u. Its space group is No. 123. Its excess energy over the best structure of this formula in the dataset is 3.47 eV per formula unit. The raw formation energy is 1.57 eV/atom. Its density of states at the Fermi level is 1.002 states/eV per atom. As for the theoretical density: 6.229 g/cm³.

No. 8
GeSbOsI2: relaxed, GGA-PBE.

Cell: 5.524 5.524 5.023 Å, 90.00 90.00 90.00°
Site moments in Bohr magnetons follow the coordinates.
Fractional coordinates of all 5 atoms:
I1 0.000 0.500 0.000  -0.01
I2 0.500 0.000 0.000  -0.01
Sb1 0.000 0.000 0.500  -0.01
Ge1 0.500 0.500 0.500  0.24
Os1 0.000 0.000 0.000  -0.01

Properties
As for the total moment: 0.6 μB/f.u. Its space group is No. 123. Its excess energy over the best structure of this formula in the dataset is 0.00 eV per formula unit. The raw formation energy is 0.88 eV/atom. Its density of states at the Fermi level is 0.919 states/eV per atom. As for the theoretical density: 6.917 g/cm³.

No. 9
GeTe2OsI: relaxed, GGA-PBE.

Cell: 5.170 5.170 5.568 Å, 90.00 90.00 90.00°
Fractional coordinates of all 5 atoms:
I1 0.000 0.000 0.500
Ge1 0.500 0.500 0.500
Te1 0.000 0.500 0.000
Te2 0.500 0.000 0.000
Os1 0.000 0.000 0.000

Properties
As for the total moment: 0.0 μB/f.u. Its space group is No. 123. Its excess energy over the best structure of this formula in the dataset is 0.00 eV per formula unit. The raw formation energy is 0.81 eV/atom. Its density of states at the Fermi level is 1.538 states/eV per atom. As for the theoretical density: 7.194 g/cm³.

No. 10
GeTe2OsI: relaxed, GGA-PBE.

Cell: 5.398 5.398 5.515 Å, 90.00 90.00 90.00°
Site moments in Bohr magnetons follow the coordinates.
Fractional coordinates of all 5 atoms:
I1 0.000 0.000 0.500  0.12
Ge1 0.000 0.000 0.000  0.01
Te1 0.000 0.500 0.000  0.11
Te2 0.500 0.000 0.000  0.11
Os1 0.500 0.500 0.500  3.33

Properties
As for the total moment: 4.4 μB/f.u. Its space group is No. 123. Its excess energy over the best structure of this formula in the dataset is 3.70 eV per formula unit. The raw formation energy is 1.55 eV/atom. Its density of states at the Fermi level is 1.103 states/eV per atom. As for the theoretical density: 6.664 g/cm³.

No. 11
Ge2PI: relaxed, GGA-PBE.

Cell: 4.046 4.046 8.394 Å, 76.06 76.06 60.00°
Fractional coordinates of all 4 atoms:
I1 0.000 0.000 0.000
P1 0.500 0.500 0.500
Ge1 0.117 0.117 0.649
Ge2 0.883 0.883 0.351

Properties
As for the total moment: 0.0 μB/f.u. Its space group is No. 166. Its excess energy over the best structure of this formula in the dataset is 0.00 eV per formula unit. The raw formation energy is 0.17 eV/atom. Its density of states at the Fermi level is 0.163 states/eV per atom. As for the theoretical density: 4.405 g/cm³.

No. 12
GePI: relaxed, GGA-PBE.

Cell: 7.743 6.665 13.672 Å, 90.00 90.00 90.00°
Fractional coordinates of all 18 atoms:
Ge1 0.130 0.039 0.371
Ge2 0.130 0.039 0.629
Ge3 0.567 0.473 0.000
Ge4 0.067 0.527 0.500
Ge5 0.630 0.961 0.129
Ge6 0.630 0.961 0.871
P1 0.783 0.651 0.919
P2 0.783 0.651 0.081
P3 0.483 0.136 0.000
P4 0.283 0.349 0.419
P5 0.283 0.349 0.581
P6 0.983 0.864 0.500
I1 0.776 0.331 0.500
I2 0.923 0.164 0.170
I3 0.923 0.164 0.830
I4 0.276 0.669 0.000
I5 0.423 0.836 0.330
I6 0.423 0.836 0.670

Properties
As for the total moment: 0.0 μB/f.u. Its space group is No. 31. The raw formation energy is 0.07 eV/atom. As for the theoretical density: 3.255 g/cm³.

No. 13
GePI3: relaxed, GGA-PBE.

Cell: 5.510 5.510 5.510 Å, 90.00 90.00 90.00°
Site moments in Bohr magnetons follow the coordinates.
Fractional coordinates of all 5 atoms:
I1 0.000 0.500 0.000  -0.01
I2 0.000 0.000 0.500  -0.01
I3 0.500 0.000 0.000  -0.01
P1 0.000 0.000 0.000  -0.01
Ge1 0.500 0.500 0.500  0.35

Properties
As for the total moment: 0.8 μB/f.u. Its space group is No. 221. Its excess energy over the best structure of this formula in the dataset is 0.00 eV per formula unit. The raw formation energy is 0.50 eV/atom. Its density of states at the Fermi level is 0.561 states/eV per atom. As for the theoretical density: 4.809 g/cm³.

No. 14
Ge2PI: relaxed, GGA-PBE.

Cell: 7.368 7.368 6.594 Å, 56.03 56.03 90.00°
Fractional coordinates of all 8 atoms:
I1 0.000 0.000 0.000
I2 0.750 0.250 0.500
P1 0.500 0.500 0.000
P2 0.250 0.750 0.500
Ge1 0.555 0.125 0.250
Ge2 0.195 0.625 0.250
Ge3 0.375 0.445 0.750
Ge4 0.875 0.805 0.750

Properties
As for the total moment: 0.0 μB/f.u. Its space group is No. 122. Its excess energy over the best structure of this formula in the dataset is 0.37 eV per formula unit. The raw formation energy is 0.26 eV/atom. Its density of states at the Fermi level is 0.273 states/eV per atom. As for the theoretical density: 4.589 g/cm³.

No. 15
Ge2PI: relaxed, GGA-PBE.

Cell: 5.029 5.029 5.029 Å, 60.00 60.00 60.00°
Fractional coordinates of all 4 atoms:
I1 0.500 0.500 0.500
P1 0.000 0.000 0.000
Ge1 0.250 0.250 0.250
Ge2 0.750 0.750 0.750

Properties
As for the total moment: 0.0 μB/f.u. Its space group is No. 225. Its excess energy over the best structure of this formula in the dataset is 1.73 eV per formula unit. The raw formation energy is 0.60 eV/atom. Its density of states at the Fermi level is 0.607 states/eV per atom. As for the theoretical density: 5.597 g/cm³.

No. 16
GePI3: relaxed, GGA-PBE.

Cell: 5.769 5.769 5.769 Å, 90.00 90.00 90.00°
Site moments in Bohr magnetons follow the coordinates.
Fractional coordinates of all 5 atoms:
I1 0.000 0.500 0.000  -0.03
I2 0.000 0.000 0.500  -0.03
I3 0.500 0.000 0.000  -0.04
P1 0.500 0.500 0.500  1.04
Ge1 0.000 0.000 0.000  -0.01

Properties
As for the total moment: 2.2 μB/f.u. Its space group is No. 221. Its excess energy over the best structure of this formula in the dataset is 0.55 eV per formula unit. The raw formation energy is 0.61 eV/atom. Its density of states at the Fermi level is 0.829 states/eV per atom. As for the theoretical density: 4.188 g/cm³.

No. 17
Pm8Ge3PI4: relaxed, GGA-PBE.

Cell: 8.582 9.118 8.581 Å, 118.08 120.00 90.00°
Fractional coordinates of all 16 atoms:
Pm1 0.228 0.694 0.966
Pm2 0.228 0.694 0.457
Pm3 0.267 0.301 0.534
Pm4 0.738 0.694 0.966
Pm5 0.262 0.306 0.034
Pm6 0.733 0.699 0.466
Pm7 0.772 0.306 0.543
Pm8 0.772 0.306 0.034
Ge1 0.500 0.500 0.000
Ge2 0.500 0.500 0.500
Ge3 0.000 0.500 0.500
P1 0.000 0.500 0.000
I1 0.500 0.000 0.000
I2 0.500 0.000 0.500
I3 0.000 0.000 0.000
I4 0.000 0.000 0.500

Properties
As for the total moment: 0.0 μB/f.u. Its space group is No. 166. The raw formation energy is -1.11 eV/atom. Its density of states at the Fermi level is 0.397 states/eV per atom. As for the theoretical density: 6.520 g/cm³.

No. 18
Pr6Ge2PI3: relaxed, GGA-PBE.

Cell: 7.510 7.510 8.190 Å, 98.79 98.79 119.99°
Fractional coordinates of all 12 atoms:
Pr1 0.935 0.607 0.804
Pr2 0.738 0.738 0.197
Pr3 0.065 0.393 0.196
Pr4 0.607 0.935 0.804
Pr5 0.262 0.262 0.803
Pr6 0.393 0.065 0.196
Ge1 0.334 0.666 0.000
Ge2 0.666 0.334 0.000
P1 0.000 0.000 0.000
I1 0.169 0.831 0.500
I2 0.831 0.169 0.500
I3 0.500 0.500 0.500

Properties
As for the total moment: 0.0 μB/f.u. Its space group is No. 12. The raw formation energy is -1.15 eV/atom. Its density of states at the Fermi level is 0.433 states/eV per atom. As for the theoretical density: 6.113 g/cm³.

No. 19
Pr8Ge3PI4: relaxed, GGA-PBE.

Cell: 8.695 9.279 8.695 Å, 117.96 120.00 90.00°
Fractional coordinates of all 16 atoms:
Pr1 0.229 0.696 0.967
Pr2 0.229 0.696 0.458
Pr3 0.267 0.300 0.533
Pr4 0.738 0.696 0.967
Pr5 0.262 0.304 0.033
Pr6 0.733 0.700 0.467
Pr7 0.771 0.304 0.542
Pr8 0.771 0.304 0.033
Ge1 0.500 0.500 0.000
Ge2 0.500 0.500 0.500
Ge3 0.000 0.500 0.500
P1 0.000 0.500 0.000
I1 0.500 0.000 0.000
I2 0.500 0.000 0.500
I3 0.000 0.000 0.000
I4 0.000 0.000 0.500

Properties
As for the total moment: 0.0 μB/f.u. Its space group is No. 166. The raw formation energy is -1.12 eV/atom. Its density of states at the Fermi level is 0.385 states/eV per atom. As for the theoretical density: 6.124 g/cm³.

No. 20
Pr4GePI2: relaxed, GGA-PBE.

Cell: 4.316 7.470 8.191 Å, 107.73 90.00 90.00°
Fractional coordinates of all 8 atoms:
Pr1 0.500 0.239 0.196
Pr2 0.500 0.761 0.804
Pr3 0.000 0.276 0.808
Pr4 0.000 0.724 0.192
Ge1 0.000 0.000 0.000
P1 0.500 0.500 0.000
I1 0.500 0.000 0.500
I2 0.000 0.500 0.500

Properties
As for the total moment: 0.0 μB/f.u. Its space group is No. 10. The raw formation energy is -1.21 eV/atom. Its density of states at the Fermi level is 0.375 states/eV per atom. As for the theoretical density: 6.081 g/cm³.